1.
! CoTcBr6, optimized geometry, DFT GGA-PBE; values from VASP
&SYSTEM
  ibrav = 0, nat = 8, ntyp = 3
/
ATOMIC_SPECIES
Br 79.90 Br.upf
Co 58.93 Co.upf
Tc 98.00 Tc.upf
ATOMIC_POSITIONS crystal
Br 0.248 0.888 0.725
Br 0.263 0.261 0.000
Br 0.752 0.112 0.275
Br 0.248 0.614 0.275
Br 0.737 0.739 0.000
Br 0.752 0.386 0.725
Co 0.000 0.000 0.000
Tc 0.500 0.500 0.000
CELL_PARAMETERS angstrom
6.331 0.322 0.917
1.572 5.406 3.062
0.119 -0.310 7.194
! * space group: C2/m (12)
! * E_form (uncorrected): -0.2607 eV/atom
! * volume: 248 Å³/cell
! * uncorrected energy: -29.59 eV per cell
! * DOS at the Fermi energy: 3.7 states/eV per cell

2.
! ZnCrP2, optimized geometry, DFT GGA-PBE; values from VASP
&SYSTEM
  ibrav = 0, nat = 4, ntyp = 3
/
ATOMIC_SPECIES
P 30.97 P.upf
Zn 65.41 Zn.upf
Cr 52.00 Cr.upf
ATOMIC_POSITIONS crystal
P 0.500 0.500 0.000
P 0.000 0.000 0.000
Zn 0.500 0.000 0.500
Cr 0.000 0.500 0.500
CELL_PARAMETERS angstrom
-1.020 -1.387 3.870
3.065 -2.683 -1.163
2.253 2.005 1.312
! * space group: Cmmm (65)
! * formation enthalpy at 0 K: 0.195 eV/atom
! * volume: 58 Å³/cell
! * uncorrected energy: -20.94 eV per cell
! * DOS at the Fermi energy: 2.2 states/eV per cell

3.
! GaAsCBr2, optimized geometry, DFT GGA-PBE; values from VASP
&SYSTEM
  ibrav = 0, nat = 5, ntyp = 4
/
ATOMIC_SPECIES
As 74.92 As.upf
Ga 69.72 Ga.upf
Br 79.90 Br.upf
C 12.01 C.upf
ATOMIC_POSITIONS crystal
As 0.000 0.000 0.500
Ga 0.500 0.500 0.500
Br 0.500 0.000 0.000
Br 0.000 0.500 0.000
C 0.000 0.000 0.000
CELL_PARAMETERS angstrom
5.323 0.000 0.000
0.000 5.323 0.000
0.000 0.000 4.065
! * space group: P4/mmm (123)
! * E above lowest polymorph: 0 meV/atom
! * E_form (uncorrected): 0.8979 eV/atom
! * volume: 115 Å³/cell
! * uncorrected energy: -15.76 eV per cell
! * DOS at the Fermi energy: 2.7 states/eV per cell

4.
! PuHfPd, optimized geometry, DFT GGA-PBE; values from VASP
&SYSTEM
  ibrav = 0, nat = 6, ntyp = 3
/
ATOMIC_SPECIES
Hf 178.49 Hf.upf
Pu 244.00 Pu.upf
Pd 106.42 Pd.upf
ATOMIC_POSITIONS crystal
Hf 0.897 0.750 0.792
Hf 0.103 0.250 0.208
Pu 0.445 0.250 0.888
Pu 0.555 0.750 0.112
Pd 0.259 0.750 0.518
Pd 0.741 0.250 0.482
CELL_PARAMETERS angstrom
-1.439 -4.189 1.904
3.110 -0.357 1.565
-1.644 5.359 4.488
! * space group: P2_1/m (11)
! * E above lowest polymorph: 111 meV/atom
! * formation enthalpy at 0 K: -0.151 eV/atom
! * volume: 114 Å³/cell
! * uncorrected energy: -59.86 eV per cell
! * DOS at the Fermi energy: 7.0 states/eV per cell

Question: Look up the uncorrected energy of the fourth one.
Answer: -59.86 eV per cell

Question: Which formula does entry 3 have?
Answer: GaAsCBr2

Question: Number 1 is which compound?
Answer: CoTcBr6